Entry from Alexandria via LeMat-Bulk: an optimized crystal structure of Tl2ZnRu2 (PBE).

Geometry as POSCAR:
```
Tl2ZnRu2
1.0
-1.5320 1.0493 -3.7981
1.6006 -3.5580 -1.6286
-5.0504 -4.1184 -1.4536
Ru Zn Tl
2 1 2
Direct
0.5959 0.5959 0.8081 Ru
0.4041 0.4041 0.1919 Ru
0.0000 0.0000 0.0000 Zn
0.2500 0.7500 0.5000 Tl
0.7500 0.2500 0.5000 Tl
```

## Properties
M_tot, Bohr magnetons per cell: 0.0
E_tot, eV per formula unit: -20.11
Crystal system: tetragonal



Entry from Alexandria via LeMat-Bulk: an optimized crystal structure of SmThGaAg (PBE).

Geometry as POSCAR:
```
SmThGaAg
1.0
5.2470 0.0000 0.0000
2.6235 4.5440 0.0000
2.6235 1.5147 4.2842
Ag Th Ga Sm
1 1 1 1
Direct
0.2500 0.2500 0.2500 Ag
0.0000 0.0000 0.0000 Th
0.7500 0.7500 0.7500 Ga
0.5000 0.5000 0.5000 Sm
```

## Properties
M_tot, Bohr magnetons per cell: 0.3
E_tot, eV per formula unit: -19.21
Crystal system: cubic



Entry from Alexandria via LeMat-Bulk: an optimized crystal structure of Pr8Tm3Th2 (PBE).

Geometry as POSCAR:
```
Pr8Tm3Th2
1.0
-1.3575 -5.5487 0.8086
-1.0871 -0.8178 -7.4367
10.6191 -2.2215 2.5348
Pr Tm Th
8 3 2
Direct
0.5002 0.3990 0.2096 Pr
0.9991 0.3258 0.6516 Pr
0.4998 0.1894 0.7904 Pr
0.0005 0.8671 0.7342 Pr
0.0009 0.6742 0.3484 Pr
0.9995 0.1329 0.2658 Pr
0.5002 0.8106 0.2096 Pr
0.4998 0.6010 0.7904 Pr
0.0000 0.2780 0.0000 Tm
0.5000 0.0000 0.0000 Tm
0.0000 0.7220 0.0000 Tm
0.4988 0.2418 0.4837 Th
0.5012 0.7582 0.5163 Th
```

## Properties
M_tot, Bohr magnetons per cell: 0.0
E_tot, eV per formula unit: -63.29
Crystal system: monoclinic



Entry from Alexandria via LeMat-Bulk: an optimized crystal structure of SmSc3 (PBE).

Geometry as POSCAR:
```
SmSc3
1.0
4.7391 0.0000 0.0000
0.0000 4.7391 0.0000
0.0000 0.0000 4.7391
Sm Sc
1 3
Direct
0.0000 0.0000 0.0000 Sm
0.0000 0.5000 0.5000 Sc
0.5000 0.0000 0.5000 Sc
0.5000 0.5000 0.0000 Sc
```

## Properties
M_tot, Bohr magnetons per cell: 0.0
E_tot, eV per formula unit: -23.47
Crystal system: cubic



Entry from Alexandria via LeMat-Bulk: an optimized crystal structure of Li2BiAu (PBE).

Geometry as POSCAR:
```
Li2BiAu
1.0
-4.2319 -0.9612 -3.4295
-2.0991 -2.3337 4.5544
-2.3222 4.9652 1.4739
Li Au Bi
4 2 2
Direct
0.8800 0.5228 0.7500 Li
0.5228 0.8800 0.7500 Li
0.1200 0.4772 0.2500 Li
0.4772 0.1200 0.2500 Li
0.0000 0.0000 0.0000 Au
0.0000 0.0000 0.5000 Au
0.3390 0.3390 0.7500 Bi
0.6610 0.6610 0.2500 Bi
```

## Properties
M_tot, Bohr magnetons per cell: 0.0
E_tot, eV per formula unit: -12.64
Crystal system: orthorhombic